1.
! PbINO2 | Alexandria via LeMat-Bulk | PBE | optimized geometry; values from VASP
&SYSTEM
  ibrav = 0, nat = 5, ntyp = 4
/
ATOMIC_SPECIES
I 126.90 I.upf
O 16.00 O.upf
N 14.01 N.upf
Pb 207.20 Pb.upf
CELL_PARAMETERS angstrom
4.2446 0.0000 0.0000
0.0000 4.2446 0.0000
0.0000 0.0000 4.3825
ATOMIC_POSITIONS angstrom
I 0.0000 0.0000 0.0000
O 0.0000 2.1223 0.0000
O 2.1223 0.0000 0.0000
N 0.0000 0.0000 2.1912
Pb 2.1223 2.1223 2.1912
! Size of the total moment ... 0.0 μB/f.u.
! DFT total energy ... -21.89 eV/cell

2.
! Dy2Er2Tm | Alexandria via LeMat-Bulk | PBE | optimized geometry; values from VASP
&SYSTEM
  ibrav = 0, nat = 10, ntyp = 3
/
ATOMIC_SPECIES
Dy 162.50 Dy.upf
Er 167.26 Er.upf
Tm 168.93 Tm.upf
CELL_PARAMETERS angstrom
-0.5068 9.1402 -0.4412
-2.8411 0.2629 8.7094
3.4937 0.2484 1.1322
ATOMIC_POSITIONS angstrom
Dy -0.5529 3.4312 0.9534
Dy -2.7950 5.9719 7.3149
Er -0.7771 3.3545 7.6457
Er -0.5784 7.8828 6.0392
Dy -1.4978 8.0653 2.8528
Dy -1.8501 1.3378 5.4155
Tm 0.0000 0.0000 0.0000
Er 0.7241 1.7686 3.3612
Er 0.9228 6.2969 1.7547
Tm -1.6740 4.7015 4.1341
! ΔE to the lowest computed polymorph ... 0.00 kcal/mol of atoms
! Size of the total moment ... 0.0 μB/f.u.
! DFT formation energy ... 0.5 eV/f.u.
! DFT total energy ... -44.62 eV/cell

3.
! BaMnSb2Pb | Alexandria via LeMat-Bulk | PBE | optimized geometry; values from VASP
&SYSTEM
  ibrav = 0, nat = 5, ntyp = 4
/
ATOMIC_SPECIES
Sb 121.76 Sb.upf
Mn 54.94 Mn.upf
Ba 137.33 Ba.upf
Pb 207.20 Pb.upf
CELL_PARAMETERS angstrom
-2.5914 2.0560 -4.0644
3.9669 -1.2806 -3.1770
-2.2394 -4.6471 -0.9230
ATOMIC_POSITIONS angstrom
Sb -1.1197 -2.3235 -0.4615
Mn 0.0000 0.0000 0.0000
Ba -0.4319 -1.9358 -4.0822
Sb -1.2957 1.0280 -2.0322
Pb 1.9835 -0.6403 -1.5885
! Size of the total moment ... 0.1 μB/f.u.
! DFT total energy ... -23.06 eV/cell

4.
! Na3ZnAg3Cl8 | Alexandria via LeMat-Bulk | PBE | optimized geometry; values from VASP
&SYSTEM
  ibrav = 0, nat = 15, ntyp = 4
/
ATOMIC_SPECIES
Cl 35.45 Cl.upf
Na 22.99 Na.upf
Zn 65.41 Zn.upf
Ag 107.87 Ag.upf
CELL_PARAMETERS angstrom
-6.8008 2.5095 3.0485
0.7601 -7.6358 -2.1616
3.8533 2.7191 6.3578
ATOMIC_POSITIONS angstrom
Cl -1.8436 0.0725 5.9703
Cl 1.5912 -0.8962 4.2874
Cl -2.4763 3.8904 6.9524
Na -3.0203 -2.5632 0.4435
Cl -3.7786 -1.5110 2.9573
Cl 0.2889 -6.2976 0.2923
Cl -3.4231 -4.9278 1.9563
Na 0.0000 0.0000 0.0000
Zn 1.9267 1.3596 3.1789
Na 0.3800 -3.8179 -1.0808
Cl 1.2357 2.5207 5.2884
Ag 2.3067 -2.4583 2.0981
Ag -1.0937 -1.2036 3.6223
Cl -0.3437 -2.4797 1.2744
Ag -1.4737 2.6143 4.7032
! Size of the total moment ... 0.0 μB/f.u.
! DFT total energy ... -45.10 eV/cell

5.
! CeGd3F | Alexandria via LeMat-Bulk | PBE | optimized geometry; values from VASP
&SYSTEM
  ibrav = 0, nat = 5, ntyp = 3
/
ATOMIC_SPECIES
Ce 140.12 Ce.upf
Gd 157.25 Gd.upf
F 19.00 F.upf
CELL_PARAMETERS angstrom
5.0918 0.0000 0.0000
0.0000 5.0918 0.0000
0.0000 0.0000 5.0918
ATOMIC_POSITIONS angstrom
Ce 2.5459 2.5459 2.5459
Gd 2.5459 0.0000 0.0000
Gd 0.0000 0.0000 2.5459
Gd 0.0000 2.5459 0.0000
F 0.0000 0.0000 0.0000
! Size of the total moment ... 22.5 μB/f.u.
! DFT total energy ... -54.34 eV/cell

6.
! Ac8NiOs3 | Alexandria via LeMat-Bulk | PBE | optimized geometry; values from VASP
&SYSTEM
  ibrav = 0, nat = 12, ntyp = 3
/
ATOMIC_SPECIES
Os 190.23 Os.upf
Ac 227.00 Ac.upf
Ni 58.69 Ni.upf
CELL_PARAMETERS angstrom
-1.9025 3.3059 -4.5263
2.5520 -6.8815 -6.0987
-7.6776 -3.1621 4.7878
ATOMIC_POSITIONS angstrom
Os -1.0342 -3.4408 -5.9487
Ac -3.3428 -7.8914 -4.3586
Os -6.0496 -3.2674 0.1563
Ac -3.8992 -3.6874 -4.9246
Ac -3.6581 1.1459 -1.4958
Ac -1.0593 -0.9149 -4.0933
Ac -6.0368 -5.7766 -1.6817
Ac -3.1162 -2.9814 -0.8677
Ac -0.3646 -5.0684 -3.5486
Os -3.7393 -1.1209 -3.1173
Ni -3.2597 -5.5645 -2.6941
Ac -6.6566 -1.6443 -2.2733
! Size of the total moment ... 0.0 μB/f.u.
! DFT formation energy ... 0.2 eV/f.u.
! DFT total energy ... -72.13 eV/cell